This record from the Alexandria database describes Pa3TcPt2 after structural relaxation. The functional is PBE.

The structure in CIF format:
```
data_Pa3TcPt2
_symmetry_space_group_name_H-M 'P -1'
_symmetry_Int_Tables_number 2
_cell_length_a 5.7230
_cell_length_b 6.7596
_cell_length_c 7.2314
_cell_angle_alpha 99.07
_cell_angle_beta 109.67
_cell_angle_gamma 92.24
loop_
_symmetry_equiv_pos_as_xyz
'x,y,z'
'-x,-y,-z'
loop_
_atom_site_label
_atom_site_fract_x
_atom_site_fract_y
_atom_site_fract_z
Pa1 0.0864 0.1356 0.3921
Pa2 0.2536 0.6300 0.3017
Pa3 0.3305 0.2436 0.9675
Tc1 0.1324 0.7902 0.9979
Pt1 0.2536 0.5209 0.6798
Pt2 0.4595 0.9424 0.6848
```

Calculated values
Total energy = -9.169 eV per atom
Formation enthalpy at 0 K = -0.68 eV per atom
Fermi-level density of states = 1.223 states/eV per atom